15
Lattice="2.7975 1.6152 4.8053 -2.7975 1.6152 4.8053 0.0000 -3.2303 4.8053" Properties=species:S:1:pos:R:3 comment="Li3TiCo3O8 PBEsol relaxed" sg=R-3m e_above_lowest_polymorph_ev_per_atom=0.020 formation_energy_uncorrected_ev_per_fu=-26.25 crystal_system=trigonal pbc="T T T"
Li -1.3988 -0.8076 4.8053
Li -1.3988 0.8076 9.6107
Li 0.0000 1.6152 4.8053
Ti 0.0000 0.0000 7.2080
Co -2.7975 0.0000 7.2080
Co -1.3988 0.8076 2.4027
Co 1.3988 0.8076 2.4027
O 0.0000 0.0000 3.3954
O -1.4171 -0.8181 8.2711
O 0.0000 -1.6363 6.1449
O -1.4171 0.8181 6.1449
O 1.4170 -0.8181 8.2711
O 0.0000 1.6363 8.2711
O 1.4170 0.8181 6.1449
O 0.0000 0.0000 11.0206

***

56
Lattice="8.3068 0.0000 0.0000 0.0000 8.3068 0.0000 0.0000 0.0000 8.3068" Properties=species:S:1:pos:R:3 comment="Li2Ti3CoO8 PBEsol relaxed" sg=P2_13 e_above_lowest_polymorph_ev_per_atom=0.000 formation_energy_uncorrected_ev_per_fu=-35.63 crystal_system=cubic pbc="T T T"
Li 0.0281 4.1253 4.1815
Li 1.0373 7.2695 3.1161
Li 3.1161 1.0373 7.2695
Li 4.1253 4.1815 0.0281
Li 4.1815 0.0281 4.1253
Li 5.1907 5.1907 5.1907
Li 7.2695 3.1161 1.0373
Li 8.2787 8.2787 8.2787
Ti 0.9855 5.2186 1.1330
Ti 1.0652 3.0204 7.3214
Ti 1.1330 0.9855 5.2186
Ti 3.0204 7.3214 1.0652
Ti 3.0882 5.2864 3.1679
Ti 3.1679 3.0882 5.2864
Ti 5.1389 7.2416 7.1738
Ti 5.2186 1.1330 0.9855
Ti 5.2864 3.1679 3.0882
Ti 7.1738 5.1389 7.2416
Ti 7.2416 7.1738 5.1389
Ti 7.3214 1.0652 3.0204
Co 2.0525 6.2059 6.2543
Co 2.1009 2.1009 2.1009
Co 6.2059 6.2543 2.0525
Co 6.2543 2.0525 6.2059
O 0.9286 1.0624 3.2252
O 0.9282 7.3782 5.2158
O 0.9359 5.0893 7.3709
O 1.0363 1.1671 7.1446
O 1.0624 3.2252 0.9286
O 1.1612 2.9922 5.3146
O 1.1622 5.1897 2.9863
O 1.1671 7.1446 1.0363
O 2.9863 1.1622 5.1897
O 2.9912 3.1171 7.1397
O 2.9922 5.3146 1.1612
O 3.0910 5.0816 5.0820
O 3.1171 7.1397 2.9912
O 3.2175 3.2175 3.2175
O 3.2252 0.9286 1.0624
O 3.2248 7.2444 7.3786
O 5.0820 3.0910 5.0816
O 5.0816 5.0820 3.0910
O 5.0893 7.3709 0.9359
O 5.1897 2.9863 1.1622
O 5.2158 0.9282 7.3782
O 5.3146 1.1612 2.9922
O 5.3205 5.3156 7.2705
O 5.3156 7.2705 5.3205
O 7.1446 1.0363 1.1671
O 7.1397 2.9912 3.1171
O 7.1456 7.1456 7.1456
O 7.2444 7.3786 3.2248
O 7.2705 5.3205 5.3156
O 7.3709 0.9359 5.0893
O 7.3786 3.2248 7.2444
O 7.3782 5.2158 0.9282

***

14
Lattice="2.9591 1.7085 4.6300 -2.9591 1.7085 4.6300 0.0000 -3.4169 4.6300" Properties=species:S:1:pos:R:3 comment="Li2Ti3CoO8 PBEsol relaxed" dos_ef_per_ev_cell=2.7 sg=R-3m e_above_lowest_polymorph_ev_per_atom=0.010 formation_energy_uncorrected_ev_per_fu=-35.50 crystal_system=trigonal pbc="T T T"
Li 0.0000 0.0000 1.6841
Li 0.0000 0.0000 12.2059
Ti -1.4796 -0.8542 4.6300
Ti -1.4796 0.8542 9.2600
Ti 0.0000 1.7085 4.6300
Co 0.0000 0.0000 6.9450
O 0.0000 0.0000 3.6048
O 0.0000 -1.5520 5.7097
O -1.3441 0.7760 5.7097
O -1.3441 -0.7760 8.1804
O 1.3441 0.7760 5.7097
O 1.3441 -0.7760 8.1804
O 0.0000 1.5520 8.1804
O 0.0000 0.0000 10.2853

***

28
Lattice="5.8576 0.0000 0.0000 -2.9288 5.0728 0.0000 0.0000 0.0000 9.5165" Properties=species:S:1:pos:R:3 comment="Li2Ti3CoO8 PBEsol relaxed" dos_ef_per_ev_cell=20.2 sg=P6_3mc e_above_lowest_polymorph_ev_per_atom=0.059 formation_energy_uncorrected_ev_per_fu=-34.81 crystal_system=hexagonal pbc="T T T"
Li 0.0000 0.0000 0.0000
Li 0.0000 0.0000 4.7582
Li 0.0000 3.3819 1.0191
Li 2.9288 1.6909 5.7774
Ti 0.0000 1.7122 7.4601
Ti -1.4460 4.2167 7.4601
Ti 1.4828 0.8561 2.7018
Ti 1.4460 4.2167 7.4601
Ti 4.3748 0.8561 2.7018
Ti 2.9288 3.3607 2.7018
Co 0.0000 3.3819 4.8482
Co 2.9288 1.6909 0.0899
O 0.0000 0.0000 1.7490
O 0.0000 0.0000 6.5073
O -1.3050 2.6285 6.3390
O 0.0000 1.6356 3.7528
O -1.5124 4.2551 3.7528
O 1.4164 0.8178 8.5110
O 0.0000 3.3819 8.5266
O 1.3050 2.6285 6.3390
O 0.0000 4.8888 6.3390
O 2.9288 0.1841 1.5807
O 1.6238 2.4444 1.5807
O 2.9288 1.6909 3.7683
O 1.5124 4.2551 3.7528
O 4.4412 0.8178 8.5110
O 2.9288 3.4373 8.5110
O 4.2338 2.4444 1.5807

***

30
Lattice="5.6624 0.0000 0.0000 -2.8312 4.9038 0.0000 0.0000 0.0000 8.9719" Properties=species:S:1:pos:R:3 comment="Li3TiCo3O8 PBEsol relaxed" sg=P6_3mc e_above_lowest_polymorph_ev_per_atom=0.000 formation_energy_uncorrected_ev_per_fu=-26.55 crystal_system=hexagonal pbc="T T T"
Li 0.0000 1.6809 0.0000
Li -1.3755 4.0633 0.0000
Li 1.4557 0.8404 4.4859
Li 1.3755 4.0633 0.0000
Li 4.2067 0.8404 4.4859
Li 2.8312 3.2229 4.4859
Ti 0.0000 3.2692 5.0270
Ti 2.8312 1.6346 0.5411
Co 0.0000 1.6493 2.4551
Co -1.4029 4.0791 2.4551
Co 1.4283 0.8246 6.9410
Co 1.4029 4.0791 2.4551
Co 4.2341 0.8246 6.9410
Co 2.8312 3.2545 6.9410
O 0.0000 0.0000 3.3811
O 0.0000 0.0000 7.8671
O -1.2615 2.5409 3.5524
O 0.0000 1.5796 5.8698
O -1.4632 4.1140 5.8698
O 1.3680 0.7898 1.3839
O 0.0000 3.2692 1.4738
O 1.2615 2.5409 3.5524
O 0.0000 4.7258 3.5524
O 2.8312 0.1780 8.0383
O 1.5697 2.3629 8.0383
O 2.8312 1.6346 5.9597
O 1.4632 4.1140 5.8698
O 4.2944 0.7898 1.3839
O 2.8312 3.3241 1.3839
O 4.0926 2.3629 8.0383

***

56
Lattice="8.2383 0.0000 0.0000 0.0000 8.2383 0.0000 0.0000 0.0000 8.2383" Properties=species:S:1:pos:R:3 comment="Li2Ti3CoO8 PBEsol relaxed" dos_ef_per_ev_cell=26.6 sg=P4_332 e_above_lowest_polymorph_ev_per_atom=0.003 formation_energy_uncorrected_ev_per_fu=-35.59 crystal_system=cubic pbc="T T T"
Li 0.0606 4.0586 4.1797
Li 1.9990 6.1182 6.2393
Li 2.1202 2.1202 2.1202
Li 4.0586 4.1797 0.0606
Li 4.1797 0.0606 4.0586
Li 6.1182 6.2393 1.9990
Li 6.2393 1.9990 6.1182
Li 8.1777 8.1777 8.1777
Ti 0.9231 5.1490 1.1364
Ti 1.0298 2.9827 7.3152
Ti 1.1364 0.9231 5.1490
Ti 2.9827 7.3152 1.0298
Ti 3.0894 5.2556 3.1960
Ti 3.1960 3.0894 5.2556
Ti 5.0423 7.2085 7.1019
Ti 5.1490 1.1364 0.9231
Ti 5.2556 3.1960 3.0894
Ti 7.1019 5.0423 7.2085
Ti 7.2085 7.1019 5.0423
Ti 7.3152 1.0298 2.9827
Co 1.0298 7.2085 3.0894
Co 3.0894 1.0298 7.2085
Co 5.1490 5.1490 5.1490
Co 7.2085 3.0894 1.0298
O 0.8762 4.9953 7.3622
O 0.9379 7.2482 5.0808
O 0.9616 3.1812 0.9901
O 0.9901 0.9616 3.1812
O 1.0695 7.1167 1.0980
O 1.0980 1.0695 7.1167
O 1.1217 5.2171 3.0497
O 1.1834 2.9357 5.3026
O 2.9357 5.3026 1.1834
O 2.9975 3.0212 7.1688
O 3.0212 7.1688 2.9975
O 3.0497 1.1217 5.2171
O 3.1291 7.2767 7.3004
O 3.1576 5.0571 5.1093
O 3.1812 0.9901 0.9616
O 3.2430 3.2430 3.2430
O 4.9953 7.3622 0.8762
O 5.0571 5.1093 3.1576
O 5.0808 0.9379 7.2482
O 5.1093 3.1576 5.0571
O 5.1886 5.2408 7.1404
O 5.2171 3.0497 1.1217
O 5.2408 7.1404 5.1886
O 5.3026 1.1834 2.9357
O 7.0549 7.0549 7.0549
O 7.1167 1.0980 1.0695
O 7.1404 5.1886 5.2408
O 7.1688 2.9975 3.0212
O 7.2482 5.0808 0.9379
O 7.2767 7.3004 3.1291
O 7.3004 3.1291 7.2767
O 7.3622 0.8762 4.9953

***

62
Lattice="9.0747 0.0000 0.0000 0.0000 23.7089 0.0000 0.0000 0.0000 2.8645" Properties=species:S:1:pos:R:3 comment="Li4Ti4V4CoO18 PBEsol relaxed" dos_ef_per_ev_cell=19.2 sg=Pbam formation_energy_uncorrected_ev_per_fu=-75.63 crystal_system=orthorhombic pbc="T T T"
Li 1.3979 4.6793 0.0000
Li 1.8402 23.4775 0.0000
Li 2.6972 11.6230 0.0000
Li 3.1394 16.5338 0.0000
Li 5.9352 7.1751 0.0000
Li 6.3775 12.0859 0.0000
Li 7.2345 0.2315 0.0000
Li 7.6768 19.0296 0.0000
Ti 0.1272 21.3784 0.0000
Ti 1.7716 19.2402 1.4323
Ti 2.7658 7.3858 1.4323
Ti 4.4101 9.5239 0.0000
Ti 4.6645 14.1850 0.0000
Ti 6.3089 16.3232 1.4323
Ti 7.3031 4.4687 1.4323
Ti 8.9475 2.3306 0.0000
V 0.4151 16.2272 0.0000
V 1.4161 13.8665 1.4323
V 3.1212 2.0120 1.4323
V 4.1222 4.3728 0.0000
V 4.9525 19.3362 0.0000
V 5.9535 21.6970 1.4323
V 7.6585 9.8425 1.4323
V 8.6595 7.4817 0.0000
Co 0.0000 11.8545 0.0000
Co 4.5373 0.0000 0.0000
O 0.1483 3.7400 1.4323
O 0.1803 14.2252 0.0000
O 0.6763 22.4818 1.4323
O 0.8385 7.0140 1.4323
O 1.2928 12.0086 1.4323
O 1.3063 17.9772 0.0000
O 1.7133 15.8146 1.4323
O 1.7324 1.8627 0.0000
O 1.9462 20.4882 0.0000
O 2.5912 8.6337 0.0000
O 2.8050 13.7172 0.0000
O 2.8240 3.9602 1.4323
O 3.2311 6.1227 0.0000
O 3.2445 0.1541 1.4323
O 3.6988 18.8685 1.4323
O 3.8611 10.6273 1.4323
O 4.3570 2.3707 0.0000
O 4.3891 15.5945 1.4323
O 4.6856 8.1145 1.4323
O 4.7177 21.3382 0.0000
O 5.2136 13.0816 1.4323
O 5.3758 4.8405 1.4323
O 5.8302 23.5549 1.4323
O 5.8436 17.5862 0.0000
O 6.2506 19.7488 1.4323
O 6.2697 9.9918 0.0000
O 6.4835 15.0752 0.0000
O 7.1285 3.2208 0.0000
O 7.3423 21.8462 0.0000
O 7.3614 7.8943 1.4323
O 7.7684 5.7318 0.0000
O 7.7818 11.7004 1.4323
O 8.2362 16.6949 1.4323
O 8.3984 1.2272 1.4323
O 8.8943 9.4837 0.0000
O 8.9264 19.9689 1.4323

***

28
Lattice="4.8769 -2.8756 0.0000 4.8769 2.8756 0.0000 -0.0449 0.0000 9.3585" Properties=species:S:1:pos:R:3 comment="Li4Ti3V2Co3O16 PBEsol relaxed" dos_ef_per_ev_cell=4.9 sg=Cm formation_energy_uncorrected_ev_per_fu=-61.48 crystal_system=monoclinic pbc="T T T"
Li 0.0000 0.0000 0.0000
Li 0.0146 0.0000 4.6414
Li 3.1584 0.0000 3.6978
Li 6.3260 0.0000 8.4879
Ti 3.8058 1.4075 6.7841
Ti 3.8058 -1.4075 6.7841
Ti 7.9245 0.0000 2.1498
V 3.1594 0.0000 0.0767
V 6.2880 0.0000 4.6528
Co 1.6127 0.0000 6.6837
Co 5.6357 1.4009 2.0213
Co 5.6357 -1.4009 2.0213
O 2.3926 1.2886 8.0046
O 1.6216 0.0000 1.0045
O 4.0191 1.4075 0.9376
O 3.1933 0.0000 5.6101
O 5.5963 1.3835 5.5832
O 4.5554 0.0000 7.8799
O 2.3926 -1.2886 8.0046
O 7.1193 1.2900 3.2681
O 5.0101 0.0000 3.1514
O 6.3877 0.0000 1.0053
O 4.0191 -1.4075 0.9376
O 5.5963 -1.3835 5.5832
O 7.9878 0.0000 5.6052
O 7.1193 -1.2900 3.2681
O 9.6720 0.0000 7.5592
O 9.7163 0.0000 2.8745

***

28
Lattice="4.9943 -2.9092 0.0000 4.9943 2.9092 0.0000 -0.0085 0.0000 9.7413" Properties=species:S:1:pos:R:3 comment="Li4Ti3Co3W2O16 PBEsol relaxed" dos_ef_per_ev_cell=1.5 sg=Cm formation_energy_uncorrected_ev_per_fu=-59.27 crystal_system=monoclinic pbc="T T T"
Li 0.0000 0.0000 0.0000
Li 0.0550 0.0000 4.7739
Li 3.2738 0.0000 4.0182
Li 6.6121 0.0000 8.9065
Ti 4.0151 1.4373 7.0812
Ti 4.0151 -1.4373 7.0812
Ti 8.2138 0.0000 2.2984
Co 1.8394 0.0000 7.0115
Co 5.8871 1.3228 2.1577
Co 5.8871 -1.3228 2.1577
W 3.2953 0.0000 0.0319
W 6.5001 0.0000 4.7981
O -0.0045 0.0000 7.8755
O 0.0190 0.0000 2.9313
O 2.6194 1.3433 8.3678
O 1.7089 0.0000 0.9089
O 4.1230 1.3962 0.9465
O 5.8528 1.4169 5.8368
O 3.4715 0.0000 5.9032
O 4.7758 0.0000 8.2396
O 2.6194 -1.3433 8.3678
O 5.1014 0.0000 3.5457
O 7.4845 1.2593 3.5666
O 4.1230 -1.3962 0.9465
O 6.7731 0.0000 1.0463
O 8.2641 0.0000 5.9434
O 5.8528 -1.4169 5.8368
O 7.4845 -1.2593 3.5666

***

13
Lattice="4.8939 0.0000 0.0000 -2.3959 5.0148 0.0000 -0.1512 -2.1300 5.4119" Properties=species:S:1:pos:R:3 comment="Li2CoW2O8 PBEsol relaxed" dos_ef_per_ev_cell=6.4 sg=P-1 formation_energy_uncorrected_ev_per_fu=-25.54 crystal_system=triclinic pbc="T T T"
Li -0.0321 -0.1643 1.3342
Li 2.3789 3.0491 4.0776
Co 2.3714 -1.0650 2.7059
W -0.1287 0.8808 4.5135
W 2.4754 2.0041 0.8984
O -1.6989 1.5970 5.1907
O -1.6825 2.9346 2.2909
O 1.4284 -0.3808 4.4928
O 1.7808 0.5655 1.7002
O 0.5659 2.3193 3.7117
O 0.9183 3.2656 0.9191
O 4.0292 -0.0497 3.1210
O 4.0457 1.2878 0.2211

***

16
Lattice="2.8989 1.6737 4.8611 -2.8989 1.6737 4.8611 0.0000 -3.3474 4.8611" Properties=species:S:1:pos:R:3 comment="Li4Co3WO8 PBEsol relaxed" dos_ef_per_ev_cell=6.2 sg=R-3m formation_energy_uncorrected_ev_per_fu=-25.08 crystal_system=trigonal pbc="T T T"
Li 0.0000 0.0000 0.0000
Li -1.4495 -0.8369 4.8611
Li -1.4495 0.8368 9.7223
Li 0.0000 1.6737 4.8611
Co -2.8989 0.0000 7.2917
Co -1.4495 0.8368 2.4306
Co 1.4495 0.8369 2.4306
W 0.0000 0.0000 7.2917
O 0.0000 0.0000 3.5214
O 0.0000 -1.5714 6.1105
O -1.3609 0.7857 6.1105
O -1.3609 -0.7857 8.4730
O 1.3609 0.7857 6.1105
O 1.3609 -0.7857 8.4730
O 0.0000 1.5714 8.4730
O 0.0000 0.0000 11.0620

***

3
Lattice="3.9572 0.0000 0.0000 -1.9786 3.4271 0.0000 0.0000 0.0000 2.5059" Properties=species:S:1:pos:R:3 comment="LiCoOs PBEsol relaxed" dos_ef_per_ev_cell=2.8 sg=P3m1 ef_ev_per_atom=0.3085 crystal_system=trigonal pbc="T T T"
Li 0.0000 0.0000 0.0000
Co 0.0000 2.2847 2.0799
Os 1.9786 1.1424 1.0509